This record from Alexandria describes In3MoN after structural relaxation. The functional is GGA-PBE.

Cell and atoms, written as POSCAR:
```
In3MoN
1.0
5.338 0.000 0.000
0.000 5.338 0.000
0.000 0.000 5.338
In Mo N
3 1 1
Cartesian
0.000 0.000 2.669
0.000 2.669 0.000
2.669 0.000 0.000
0.000 0.000 0.000
2.669 2.669 2.669
```

- Distance to the lowest polymorph of the same formula: 0.531 eV/atom
- D(E_F): 2.796 states/eV/f.u.
- Space group: No. 221
- M_tot: 3.838 μB/f.u.